Entry 1:
Material: TaTlCl2
Method: DFT, GGA-PBEsol
State: optimized geometry

abc: 3.069 4.643 5.521
angles: 90.00 90.00 90.00
Atoms (fractional coordinates):
Ta 0.000 0.000 0.000
Tl 0.500 0.000 0.500
Cl 0.000 0.500 0.500
Cl 0.500 0.500 0.000

Properties
Crystal system: orthorhombic
Magnetization, μB per formula unit: 0.416
Polymorph energy (0 for the lowest one), meV per atom: 747
Formation energy without anion corrections, kJ per mole of atoms: 17.0

Entry 2:
Material: SmBiRh
Method: DFT, GGA-PBEsol
State: optimized geometry

abc: 7.261 4.685 7.940
angles: 90.00 90.00 90.00
Atoms (fractional coordinates):
Sm 0.012 0.250 0.197
Sm 0.488 0.750 0.697
Sm 0.512 0.250 0.303
Sm 0.988 0.750 0.803
Bi 0.185 0.250 0.590
Bi 0.315 0.750 0.090
Bi 0.685 0.250 0.910
Bi 0.815 0.750 0.410
Rh 0.208 0.750 0.420
Rh 0.292 0.250 0.920
Rh 0.708 0.750 0.080
Rh 0.792 0.250 0.580

Properties
Formation enthalpy at 0 K, eV per atom: -0.74
Crystal system: orthorhombic
Magnetization, μB per formula unit: 0.000

Entry 3:
Material: LaTlMo2
Method: DFT, GGA-PBEsol
State: optimized geometry

abc: 4.787 4.787 4.787
angles: 60.00 60.00 60.00
Atoms (fractional coordinates):
La 0.000 0.000 0.000
Tl 0.500 0.500 0.500
Mo 0.250 0.250 0.250
Mo 0.750 0.750 0.750

Properties
Formation enthalpy at 0 K, eV per atom: 0.75
Crystal system: cubic
Magnetization, μB per formula unit: 0.000
Polymorph energy (0 for the lowest one), meV per atom: 373